{
  "formula": "TaNbGaRu2",
  "functional": "PBE-GGA",
  "state": "relaxed",
  "formation_enthalpy_0k_kj_per_mol_fu": 660.0,
  "sg": "P4/mmm, No. 123",
  "cell": [[4.6239, 0.0000, 0.0000], [0.0000, 4.6239, 0.0000], [0.0000, 0.0000, 4.8696]],
  "species": ["Ta", "Nb", "Ga", "Ru", "Ru"],
  "fractional_positions": [[0.0000, 0.0000, 0.0000], [0.5000, 0.5000, 0.5000], [0.0000, 0.0000, 0.5000], [0.0000, 0.5000, 0.0000], [0.5000, 0.0000, 0.0000]]
}